# TaZn2FeO6 (PBE+U, relaxed)
data_TaZn2FeO6
_chemical_formula_sum 'Ta2 Zn4 Fe2 O12'
_cell_length_a 7.7034
_cell_length_b 5.2593
_cell_length_c 5.3423
_cell_angle_alpha 89.13
_cell_angle_beta 90.00
_cell_angle_gamma 90.00
_space_group_name_H-M_alt 'P 1'
_space_group_IT_number 1
loop_
_space_group_symop_operation_xyz
'x,y,z'
loop_
_atom_site_label
_atom_site_fract_x
_atom_site_fract_y
_atom_site_fract_z
_atom_site_occupancy
Ta1 0.0000 0.0000 0.5000 1
Ta2 0.5000 0.0000 0.5000 1
Zn1 0.2500 0.9842 0.9858 1
Zn2 0.2500 0.4967 0.4545 1
Zn3 0.7500 0.5033 0.5455 1
Zn4 0.7500 0.0158 0.0142 1
Fe1 0.0000 0.5000 0.0000 1
Fe2 0.5000 0.5000 0.0000 1
O1 0.5632 0.8319 0.8202 1
O2 0.4353 0.3192 0.6731 1
O3 0.4368 0.1681 0.1798 1
O4 0.9353 0.6808 0.3269 1
O5 0.7500 0.1211 0.4377 1
O6 0.5647 0.6808 0.3269 1
O7 0.0647 0.3192 0.6731 1
O8 0.9368 0.8319 0.8202 1
O9 0.2500 0.6147 0.0788 1
O10 0.0632 0.1681 0.1798 1
O11 0.7500 0.3853 0.9212 1
O12 0.2500 0.8789 0.5623 1
# DOS(E_F) (states/eV per atom): 0.000
# Total DFT energy (no corrections) (Ry per atom): -0.5021